MoPS2F: optimized geometry, PBE+U.

Cell lengths 4.8343, 4.8343, 3.6750 Å; angles 90.00, 90.00, 90.00 degrees
With the nearest neighbours (Å) after each atom.
Fractional coordinates of all 5 atoms:
Mo 0.0000 0.0000 0.0000  8 S 3.04
P 0.5000 0.5000 0.0000  2 F 1.84
S 0.0000 0.5000 0.5000  2 F 2.42
S 0.5000 0.0000 0.5000  2 F 2.42
F 0.5000 0.5000 0.5000  2 P 1.84

- space group = No. 123
- size of the total moment (μB/atom) = 0.245
- calculated total energy (eV/cell) = -17.65
- crystal system = tetragonal